[1]
# PBE Tb3HoHg, relaxed
# **DFT formation energy**: -116 meV/atom
# **Magnetization**: 0.000 μB per cell
# **N(E_F)**: 0.9856 states/eV per atom
data_Tb3HoHg
_chemical_formula_sum 'Tb12 Ho4 Hg4'
_cell_length_a 11.1847
_cell_length_b 7.3855
_cell_length_c 7.9075
_cell_angle_alpha 90.00
_cell_angle_beta 110.63
_cell_angle_gamma 90.00
_symmetry_space_group_name_H-M 'C 1 2/m 1'
_symmetry_Int_Tables_number 12
loop_
_symmetry_equiv_pos_as_xyz
'x,y,z'
'-x,-y,-z'
'-x,y,-z'
'x,-y,z'
'x+1/2,y+1/2,z'
'-x+1/2,-y+1/2,-z'
'-x+1/2,y+1/2,-z'
'x+1/2,-y+1/2,z'
loop_
_atom_site_label
_atom_site_fract_x
_atom_site_fract_y
_atom_site_fract_z
Tb1 0.0600 0.0000 0.2387
Tb2 0.1601 0.2502 0.6412
Ho1 0.0607 0.5000 0.2407
Hg1 0.2470 0.5000 0.0002



[2]
# PBE La4PrDy2Ho, relaxed
# **DFT formation energy**: 87 meV/atom
# **Magnetization**: 0.000 μB per cell
# **N(E_F)**: 1.6911 states/eV per atom
data_La4PrDy2Ho
_chemical_formula_sum 'La4 Pr1 Dy2 Ho1'
_cell_length_a 6.0210
_cell_length_b 6.0228
_cell_length_c 7.6977
_cell_angle_alpha 90.00
_cell_angle_beta 90.00
_cell_angle_gamma 90.00
_symmetry_space_group_name_H-M 'P m m m'
_symmetry_Int_Tables_number 47
loop_
_symmetry_equiv_pos_as_xyz
'x,y,z'
'-x,-y,-z'
'-x,-y,z'
'x,y,-z'
'x,-y,-z'
'-x,y,z'
'-x,y,-z'
'x,-y,z'
loop_
_atom_site_label
_atom_site_fract_x
_atom_site_fract_y
_atom_site_fract_z
La1 0.0000 0.0000 0.2417
La2 0.5000 0.5000 0.2430
Pr1 0.5000 0.0000 0.5000
Dy1 0.0000 0.5000 0.0000
Dy2 0.5000 0.0000 0.0000
Ho1 0.0000 0.5000 0.5000



[3]
# PBE PmDy2Ag3, relaxed
# **DFT formation energy**: -308 meV/atom
# **Magnetization**: 0.001 μB per cell
# **N(E_F)**: 0.5294 states/eV per atom
data_PmDy2Ag3
_chemical_formula_sum 'Pm1 Dy2 Ag3'
_cell_length_a 3.6458
_cell_length_b 3.6458
_cell_length_c 11.1144
_cell_angle_alpha 90.00
_cell_angle_beta 90.00
_cell_angle_gamma 90.00
_symmetry_space_group_name_H-M 'P 4/m m m'
_symmetry_Int_Tables_number 123
_symmetry_space_group_name_Hall '-P 4 2'
loop_
_atom_site_label
_atom_site_fract_x
_atom_site_fract_y
_atom_site_fract_z
Pm1 0.0000 0.0000 0.0000
Dy1 0.0000 0.0000 0.3367
Ag1 0.5000 0.5000 0.1775
Ag2 0.5000 0.5000 0.5000



[4]
# PBE Ca3SbW, relaxed
# **Formation energy from raw total energies**: 0.836 eV/atom
# **Magnetization**: 5.661 μB per cell
# **N(E_F)**: 0.9219 states/eV per atom
# **Energy above the most stable polymorph in this dataset**: 0.027 eV per atom
data_Ca3SbW
_chemical_formula_sum 'Ca3 Sb1 W1'
_cell_length_a 5.8469
_cell_length_b 5.8469
_cell_length_c 5.8469
_cell_angle_alpha 90.00
_cell_angle_beta 90.00
_cell_angle_gamma 90.00
_symmetry_space_group_name_H-M 'P m -3 m'
_symmetry_Int_Tables_number 221
_symmetry_space_group_name_Hall '-P 4 2 3'
loop_
_atom_site_label
_atom_site_fract_x
_atom_site_fract_y
_atom_site_fract_z
Ca1 0.0000 0.0000 0.5000
Sb1 0.0000 0.0000 0.0000
W1 0.5000 0.5000 0.5000



[5]
# PBE La2TaNi, relaxed
# **DFT formation energy**: 464 meV/atom
# **Magnetization**: 0.002 μB per cell
# **N(E_F)**: 1.5431 states/eV per atom
# **Energy above the most stable polymorph in this dataset**: 0.395 eV per atom
data_La2TaNi
_chemical_formula_sum 'La8 Ta4 Ni4'
_cell_length_a 7.0418
_cell_length_b 7.0418
_cell_length_c 7.0418
_cell_angle_alpha 90.00
_cell_angle_beta 90.00
_cell_angle_gamma 90.00
_symmetry_space_group_name_H-M 'F -4 3 m'
_symmetry_Int_Tables_number 216
_symmetry_space_group_name_Hall 'F -4 2 3'
loop_
_atom_site_label
_atom_site_fract_x
_atom_site_fract_y
_atom_site_fract_z
La1 0.0000 0.0000 0.0000
La2 0.2500 0.2500 0.2500
Ta1 0.2500 0.2500 0.7500
Ni1 0.0000 0.0000 0.5000



[6]
# PBE AlCd2Sn, relaxed
# **DFT formation energy**: 112 meV/atom
# **Magnetization**: 0.000 μB per cell
# **N(E_F)**: 0.3383 states/eV per atom
# **Energy above the most stable polymorph in this dataset**: 0.000 eV per atom
data_AlCd2Sn
_chemical_formula_sum 'Al1 Cd2 Sn1'
_cell_length_a 3.1299
_cell_length_b 3.1299
_cell_length_c 9.3784
_cell_angle_alpha 90.00
_cell_angle_beta 90.00
_cell_angle_gamma 90.00
_symmetry_space_group_name_H-M 'P 4/m m m'
_symmetry_Int_Tables_number 123
_symmetry_space_group_name_Hall '-P 4 2'
loop_
_atom_site_label
_atom_site_fract_x
_atom_site_fract_y
_atom_site_fract_z
Al1 0.0000 0.0000 0.0000
Cd1 0.5000 0.5000 0.2197
Sn1 0.0000 0.0000 0.5000



[7]
# PBE LaPS4Br, relaxed
# **Formation energy from raw total energies**: -0.957 eV/atom
# **Magnetization**: 0.000 μB per cell
# **N(E_F)**: 0.0000 states/eV per atom
data_LaPS4Br
_chemical_formula_sum 'La4 P4 S16 Br4'
_cell_length_a 13.8927
_cell_length_b 9.0179
_cell_length_c 7.1922
_cell_angle_alpha 90.00
_cell_angle_beta 107.09
_cell_angle_gamma 90.00
_symmetry_space_group_name_H-M 'C 1 2/m 1'
_symmetry_Int_Tables_number 12
loop_
_symmetry_equiv_pos_as_xyz
'x,y,z'
'-x,-y,-z'
'-x,y,-z'
'x,-y,z'
'x+1/2,y+1/2,z'
'-x+1/2,-y+1/2,-z'
'-x+1/2,y+1/2,-z'
'x+1/2,-y+1/2,z'
loop_
_atom_site_label
_atom_site_fract_x
_atom_site_fract_y
_atom_site_fract_z
La1 0.1754 0.0000 0.0765
P1 0.1610 0.5000 0.2702
S1 0.0042 0.5000 0.1486
S2 0.1606 0.5000 0.5465
S3 0.2274 0.3263 0.1663
Br1 0.0113 0.0000 0.2585



[8]
# PBE Er6Tl3Pb, relaxed
# **DFT formation energy**: -195 meV/atom
# **Magnetization**: 0.000 μB per cell
# **N(E_F)**: 0.8407 states/eV per atom
data_Er6Tl3Pb
_chemical_formula_sum 'Er24 Tl12 Pb4'
_cell_length_a 9.9839
_cell_length_b 17.1897
_cell_length_c 6.7940
_cell_angle_alpha 90.00
_cell_angle_beta 90.00
_cell_angle_gamma 90.00
_symmetry_space_group_name_H-M 'C m c 21'
_symmetry_Int_Tables_number 36
loop_
_symmetry_equiv_pos_as_xyz
'x,y,z'
'-x,-y,z+1/2'
'-x,y,z'
'x,-y,z+1/2'
'x+1/2,y+1/2,z'
'-x+1/2,-y+1/2,z+1/2'
'-x+1/2,y+1/2,z'
'x+1/2,-y+1/2,z+1/2'
loop_
_atom_site_label
_atom_site_fract_x
_atom_site_fract_y
_atom_site_fract_z
Er1 0.0000 0.0097 0.0000
Er2 0.0000 0.3007 0.9990
Er3 0.1834 0.2697 0.4844
Er4 0.2026 0.4410 0.2199
Tl1 0.0000 0.4229 0.5854
Tl2 0.1960 0.1112 0.2696
Pb1 0.0000 0.1544 0.7298